A relaxed structure of KCrP2, computed with GGA-PBE.

Cell lengths 3.1810, 3.1810, 24.6150 Å; angles 90.00, 90.00, 120.00 degrees
Closest atoms and distances in Å follow each position.
Space group R-3m (No. 166, hexagonal axes)
One atom of each set of equivalent atoms:
K  0.0000  0.0000  0.0000 (multiplicity 3)  6 K 3.18, 6 P 3.19
Cr  0.0000  0.0000  0.5000 (multiplicity 3)  6 P 2.37
P  0.0000  0.0000  0.2274 (multiplicity 6)  3 Cr 2.37

Calculated values
formation energy from the elements	-0.133	eV per atom
polymorph energy (0 for the lowest one)	96	meV per atom
total energy	-5.52	eV/atom